FeSiH2 at its PBEsol-relaxed geometry, computed with meta-GGA SCAN.

Cell lengths 3.411, 3.411, 5.699 Å; angles 107.42, 107.42, 90.00 degrees
Fractional coordinates of all 8 atoms:
H (0.625, 0.709, 0.750)
H (0.959, 0.375, 0.250)
H (0.125, 0.041, 0.750)
H (0.291, 0.875, 0.250)
Si (0.500, 0.500, 0.000)
Si (0.750, 0.250, 0.500)
Fe (0.250, 0.750, 0.500)
Fe (0.000, 0.000, 0.000)

Summary:
Space group: I-42d (122)
Final energy, eV per atom: -8.196
DOS(E_F), states/eV/atom: 0.379



Nb2BiPPb at its PBEsol-relaxed geometry, computed with meta-GGA SCAN.

Cell lengths 4.716, 4.716, 5.368 Å; angles 90.00, 90.00, 90.00 degrees
Site moments in Bohr magnetons follow the coordinates.
Fractional coordinates of all 5 atoms:
P (0.000, 0.000, 0.000)  -0.02
Bi (0.500, 0.500, 0.500)  0.00
Nb (0.000, 0.500, 0.000)  0.55
Nb (0.500, 0.000, 0.000)  0.55
Pb (0.000, 0.000, 0.500)  -0.02

Summary:
Space group: P4/mmm (123)
Final energy, eV per atom: -45.639
Formation energy, meV per atom: 564.6
DOS(E_F), states/eV/atom: 1.074



InIrSe2N at its PBEsol-relaxed geometry, computed with meta-GGA SCAN.

Cell lengths 3.880, 5.152, 5.152 Å; angles 90.00, 90.00, 90.00 degrees
Site moments in Bohr magnetons follow the coordinates.
Fractional coordinates of all 5 atoms:
In (0.000, 0.000, 0.000)  -0.01
Ir (0.500, 0.500, 0.500)  0.50
Se (0.000, 0.500, 0.000)  0.11
Se (0.000, 0.000, 0.500)  0.11
N (0.500, 0.000, 0.000)  1.11

Summary:
Raw formation energy, eV/atom: 1.64
Space group: P4/mmm (123)
Final energy, eV per atom: -29.142
DOS(E_F), states/eV/atom: 0.562



SrTlCd at its PBEsol-relaxed geometry, computed with meta-GGA SCAN.

Cell lengths 5.287, 5.287, 5.287 Å; angles 60.00, 60.00, 60.00 degrees
Fractional coordinates of all 3 atoms:
Tl (0.000, 0.000, 0.000)
Cd (0.500, 0.500, 0.500)
Sr (0.250, 0.250, 0.250)

Summary:
Space group: F-43m (216)
Final energy, eV per atom: -41.651
Formation energy, meV per atom: 32.1
DOS(E_F), states/eV/atom: 1.103



LiCuS at its PBEsol-relaxed geometry, computed with meta-GGA SCAN.

Cell lengths 4.759, 7.433, 7.433 Å; angles 84.12, 71.33, 71.33 degrees
Fractional coordinates of all 12 atoms:
Cu (0.854, 0.000, 0.291)
Cu (0.146, 0.000, 0.709)
Cu (0.854, 0.291, 0.000)
Cu (0.146, 0.709, 0.000)
Li (0.842, 0.658, 0.658)
Li (0.500, 0.342, 0.658)
Li (0.500, 0.658, 0.342)
Li (0.158, 0.342, 0.342)
S (0.000, 0.300, 0.700)
S (0.300, 0.700, 0.700)
S (0.700, 0.300, 0.300)
S (0.000, 0.700, 0.300)

Summary:
Raw formation energy, eV/atom: -0.77
Space group: I4/mmm (139)
Final energy, eV per atom: -9.839
DOS(E_F), states/eV/atom: 0.000



Li3Mn5OF11 at its PBEsol-relaxed geometry, computed with meta-GGA SCAN.

Cell lengths 5.307, 5.584, 9.216 Å; angles 73.58, 89.34, 61.72 degrees
Site moments in Bohr magnetons follow the coordinates.
Fractional coordinates of all 20 atoms:
F (0.465, 0.759, 0.712)  0.07
F (0.989, 0.745, 0.230)  0.08
F (0.521, 0.235, 0.285)  0.07
F (0.082, 0.257, 0.122)  0.07
F (0.014, 0.269, 0.468)  0.07
F (0.564, 0.233, 0.980)  0.08
F (0.960, 0.758, 0.522)  0.06
F (0.560, 0.246, 0.629)  0.05
F (0.004, 0.262, 0.770)  0.07
F (0.948, 0.724, 0.868)  0.08
F (0.420, 0.750, 0.385)  0.06
Li (0.776, 0.450, 0.923)  0.00
Li (0.278, 0.436, 0.443)  0.00
Li (0.708, 0.579, 0.575)  0.00
Mn (0.244, 0.569, 0.068)  4.60
Mn (0.453, 0.057, 0.831)  4.60
Mn (0.964, 0.075, 0.321)  4.63
Mn (0.021, 0.950, 0.669)  4.62
Mn (0.544, 0.895, 0.180)  4.58
O (0.486, 0.750, 0.021)  0.15

Summary:
Raw formation energy, eV/atom: -2.81
Space group: P1 (1)
Final energy, eV per atom: -9.994
DOS(E_F), states/eV/atom: 0.000



TiRe3Te at its PBEsol-relaxed geometry, computed with meta-GGA SCAN.

Cell lengths 4.573, 4.573, 4.573 Å; angles 90.00, 90.00, 90.00 degrees
Site moments in Bohr magnetons follow the coordinates.
Fractional coordinates of all 5 atoms:
Ti (0.000, 0.000, 0.000)  0.06
Te (0.500, 0.500, 0.500)  0.07
Re (0.000, 0.500, 0.000)  -0.43
Re (0.000, 0.000, 0.500)  -0.43
Re (0.500, 0.000, 0.000)  -0.43

Summary:
Raw formation energy, eV/atom: 2.00
Space group: Pm-3m (221)
Final energy, eV per atom: -51.314
DOS(E_F), states/eV/atom: 0.658



Mo3Pb at its PBEsol-relaxed geometry, computed with meta-GGA SCAN.

Cell lengths 3.310, 4.463, 5.333 Å; angles 114.74, 108.08, 90.00 degrees
Fractional coordinates of all 4 atoms:
Mo (0.238, 0.238, 0.476)
Mo (0.500, 0.000, 0.000)
Mo (0.762, 0.762, 0.524)
Pb (0.000, 0.500, 0.000)

Summary:
Space group: Immm (71)
Final energy, eV per atom: -44.606
Formation energy, meV per atom: 503.6
DOS(E_F), states/eV/atom: 0.772



Ba2CaCuBi2F14 at its PBEsol-relaxed geometry, computed with meta-GGA SCAN.

Cell lengths 5.406, 7.497, 16.450 Å; angles 91.13, 90.00, 111.13 degrees
Site moments in Bohr magnetons follow the coordinates.
Fractional coordinates of all 40 atoms:
Ca (0.457, 0.000, 0.250)  0.00
Ca (0.543, 0.000, 0.750)  0.00
F (0.419, 0.292, 0.031)  0.00
F (0.864, 0.146, 0.986)  0.05
F (0.361, 0.231, 0.739)  0.00
F (0.127, 0.708, 0.469)  0.00
F (0.639, 0.040, 0.389)  0.05
F (0.101, 0.929, 0.170)  0.00
F (0.899, 0.071, 0.830)  0.00
F (0.127, 0.697, 0.303)  0.00
F (0.859, 0.490, 0.887)  0.00
F (0.581, 0.708, 0.969)  0.00
F (0.630, 0.490, 0.387)  0.00
F (0.870, 0.231, 0.239)  0.00
F (0.571, 0.697, 0.803)  0.00
F (0.639, 0.769, 0.261)  0.00
F (0.282, 0.146, 0.486)  0.05
F (0.130, 0.769, 0.761)  0.00
F (0.172, 0.071, 0.330)  0.00
F (0.873, 0.292, 0.531)  0.00
F (0.370, 0.510, 0.613)  0.00
F (0.141, 0.510, 0.113)  0.00
F (0.828, 0.929, 0.670)  0.00
F (0.429, 0.303, 0.197)  0.00
F (0.718, 0.854, 0.514)  0.05
F (0.598, 0.960, 0.111)  0.05
F (0.402, 0.040, 0.889)  0.05
F (0.873, 0.303, 0.697)  0.00
F (0.361, 0.960, 0.611)  0.05
F (0.136, 0.854, 0.014)  0.05
Bi (0.130, 0.200, 0.621)  0.00
Bi (0.870, 0.800, 0.379)  0.00
Bi (0.930, 0.800, 0.879)  0.00
Bi (0.070, 0.200, 0.121)  0.00
Ba (0.901, 0.623, 0.618)  0.00
Ba (0.278, 0.377, 0.882)  0.00
Ba (0.722, 0.623, 0.118)  0.00
Ba (0.099, 0.377, 0.382)  0.00
Cu (0.500, 0.000, 0.500)  0.80
Cu (0.500, 0.000, 0.000)  0.80

Summary:
Raw formation energy, eV/atom: -3.10
Space group: C2/c (15)
Final energy, eV per atom: -18.631
DOS(E_F), states/eV/atom: 0.000



NaNbO3 at its PBEsol-relaxed geometry, computed with meta-GGA SCAN.

Cell lengths 3.989, 5.511, 5.511 Å; angles 90.00, 90.00, 90.00 degrees
Fractional coordinates of all 10 atoms:
O (0.500, 0.500, 0.500)
O (0.000, 0.305, 0.805)
O (0.500, 0.000, 0.000)
O (0.000, 0.805, 0.695)
O (0.000, 0.695, 0.195)
O (0.000, 0.195, 0.305)
Na (0.500, 0.500, 0.000)
Na (0.500, 0.000, 0.500)
Nb (0.000, 0.500, 0.500)
Nb (0.000, 0.000, 0.000)

Summary:
Raw formation energy, eV/atom: -2.61
Space group: P4/mbm (127)
Final energy, eV per atom: -13.821
DOS(E_F), states/eV/atom: 0.000



ZrTl2Fe at its PBEsol-relaxed geometry, computed with meta-GGA SCAN.

Cell lengths 4.786, 4.786, 4.786 Å; angles 60.00, 60.00, 60.00 degrees
Site moments in Bohr magnetons follow the coordinates.
Fractional coordinates of all 4 atoms:
Fe (0.000, 0.000, 0.000)  2.85
Tl (0.750, 0.750, 0.750)  -0.03
Tl (0.250, 0.250, 0.250)  -0.03
Zr (0.500, 0.500, 0.500)  -0.27

Summary:
Space group: Fm-3m (225)
Final energy, eV per atom: -48.111
Formation energy, meV per atom: 275.1
DOS(E_F), states/eV/atom: 0.560



MnZnNi at its PBEsol-relaxed geometry, computed with meta-GGA SCAN.

Cell lengths 2.693, 3.434, 4.474 Å; angles 112.57, 107.52, 90.00 degrees
Site moments in Bohr magnetons follow the coordinates.
Fractional coordinates of all 3 atoms:
Zn (0.330, 0.330, 0.660)  -0.06
Ni (0.665, 0.665, 0.331)  0.59
Mn (0.005, 0.005, 0.009)  3.67

Summary:
Space group: Imm2 (44)
Final energy, eV per atom: -16.253
Formation energy, meV per atom: -271.4
DOS(E_F), states/eV/atom: 0.360